Record 1
Compound: MgCoTeO
Source: OQMD
Functional: PBE+U
Structure: relaxed

Cell: 5.7601 5.8168 8.3344 Å, 90.00 90.00 90.00°
Space group P2_12_12_1 (No. 19)
Symmetry-distinct sites (fractional):
Mg (0.9998, 0.2494, 0.2455) x4
Co (0.9999, 0.2518, 0.7220) x4
Te (0.2491, 0.9965, 0.5000) x4
O (0.2466, 0.5007, 0.7486) x4

Summary:
Energy above the most stable polymorph in this dataset   21.4 kJ/mol of atoms

***

Record 2
Compound: MgCoTeO
Source: OQMD
Functional: PBE+U
Structure: relaxed

Cell: 5.9828 3.6895 13.1761 Å, 90.00 90.00 90.00°
Space group Pnma (No. 62)
Symmetry-distinct sites (fractional):
Mg (0.2365, 0.2500, 0.0999) x4
Co (0.0956, 0.2500, 0.7863) x4
Te (0.2288, 0.2500, 0.4060) x4
O (0.2203, 0.7500, 0.1649) x4

Summary:
Energy above the most stable polymorph in this dataset   10.4 kJ/mol of atoms

***

Record 3
Compound: MgCoTeO
Source: OQMD
Functional: PBE+U
Structure: relaxed

Cell: 3.8775 3.8775 10.1761 Å, 90.00 90.00 90.00°
Space group P4/nmm (No. 129, origin choice 2)
Symmetry-distinct sites (fractional):
Mg (0.2500, 0.2500, 0.0091) x2
Co (0.2500, 0.2500, 0.5851) x2
Te (0.2500, 0.2500, 0.3307) x2
O (0.2500, 0.7500, 0.0000) x2

Summary:
Energy above the most stable polymorph in this dataset   12.0 kJ/mol of atoms

***

Record 4
Compound: MgCoTeO
Source: OQMD
Functional: PBE+U
Structure: relaxed

Cell: 5.1372 5.1372 6.4184 Å, 90.00 90.00 90.00°
Space group P4/nmm (No. 129, origin choice 2)
Symmetry-distinct sites (fractional):
Mg (0.2500, 0.2500, 0.2399) x2
Co (0.2500, 0.2500, 0.6823) x2
Te (0.2500, 0.7500, 0.5000) x2
O (0.2500, 0.2500, 0.9532) x2

Summary:
Energy above the most stable polymorph in this dataset   54.1 kJ/mol of atoms

***

Record 5
Compound: MgCoTeO
Source: OQMD
Functional: PBE+U
Structure: relaxed

Cell: 7.6682 12.5007 6.1549 Å, 90.00 90.02 90.00°
Space group P2_1/c (No. 14)
Symmetry-distinct sites (fractional):
Mg (0.2484, 0.0005, 0.0003) x4
Mg (0.2515, 0.9998, 0.5002) x4
Co (0.0008, 0.1538, 0.7130) x4
Co (0.4989, 0.6537, 0.7806) x4
Te (0.0000, 0.1355, 0.2573) x4
Te (0.5000, 0.1354, 0.2571) x4
O (0.2491, 0.5999, 0.7483) x4
O (0.2504, 0.0999, 0.7509) x4

Summary:
Energy above the most stable polymorph in this dataset   13.4 kJ/mol of atoms